ScCd2Ag2 after structural relaxation. Source: Alexandria via LeMat-Bulk, functional PBE-GGA.

Lattice parameters (Å, degrees): 4.828 4.851 5.625 65.02 64.58 60.15
Element x y z (fractional)
1 Sc 0.000 0.000 0.000
2 Cd 0.210 0.211 0.368
3 Cd 0.790 0.789 0.632
4 Ag 0.595 0.597 0.214
5 Ag 0.405 0.403 0.786

* formation energy: -170 meV/atom
* total magnetization: 0.0 μB per cell
* ΔE to the lowest computed polymorph: 0 meV per atom
* symmetry: C2/m (12)